Th2AgH | PBE | optimized geometry

Calculated values
The value obtained for the mass density is 10.7 g cm⁻³. The value obtained for the density of states at the Fermi level is 1.16 states/eV per atom. Its symmetry is No. 160.

Cell: 8.369 8.369 8.369 Å, 24.48 24.48 24.48°
Sites, in units of the cell vectors:
Th  0.000  0.000  0.000
Th  0.205  0.205  0.205
Ag  0.435  0.435  0.435
H  0.599  0.599  0.599



Tm2TeN | PBE | optimized geometry

Calculated values
The value obtained for the mass density is 8.4 g cm⁻³. The calculation puts the formation energy (no corrections) at -1.301 eV per atom. The value obtained for the density of states at the Fermi level is 0.50 states/eV per atom. Its symmetry is No. 6.

Cell: 4.664 3.970 10.210 Å, 90.00 92.18 90.00°
Sites, in units of the cell vectors:
Tm  0.000  0.000  0.000
Tm  0.117  0.000  0.607
Tm  0.524  0.500  0.398
Tm  0.651  0.500  0.765
Te  0.019  0.000  0.315
Te  0.498  0.500  0.055
N  0.358  0.500  0.596
N  0.885  0.000  0.792



ScN | PBE | optimized geometry

Calculated values
The value obtained for the mass density is 2.6 g cm⁻³. The calculation puts the formation energy (no corrections) at -1.467 eV per atom. Its symmetry is No. 70.

Cell: 6.626 5.841 5.833 Å, 69.16 55.48 55.36°
Sites, in units of the cell vectors:
Sc  0.036  0.036  0.714
Sc  0.286  0.286  0.964
Sc  0.714  0.714  0.036
Sc  0.964  0.964  0.286
N  0.034  0.716  0.034
N  0.284  0.966  0.284
N  0.716  0.034  0.716
N  0.966  0.284  0.966



Sb2MoBr | PBE | optimized geometry

Calculated values
The value obtained for the mass density is 7.6 g cm⁻³. The calculation puts the formation energy (no corrections) at 0.670 eV per atom. The value obtained for the density of states at the Fermi level is 1.14 states/eV per atom. Its symmetry is No. 123.

Cell: 5.364 5.364 3.172 Å, 90.00 90.00 90.00°
Sites, in units of the cell vectors:
Sb  0.000  0.500  0.000
Sb  0.500  0.000  0.000
Mo  0.000  0.000  0.500
Br  0.500  0.500  0.500



CaPr2NdS4 | PBE | optimized geometry

Calculated values
The value obtained for the mass density is 5.1 g cm⁻³. The calculation puts the formation energy (no corrections) at -2.037 eV per atom. The value obtained for the density of states at the Fermi level is 0.38 states/eV per atom. Its symmetry is No. 10.

Cell: 7.068 4.055 7.083 Å, 90.00 109.10 90.00°
Sites, in units of the cell vectors:
Ca  0.000  0.000  0.000
Pr  0.000  0.500  0.500
Pr  0.500  0.000  0.500
Nd  0.500  0.500  0.000
S  0.244  0.500  0.242
S  0.247  0.000  0.757
S  0.753  0.000  0.243
S  0.756  0.500  0.758



NaCo2CuI | PBE | optimized geometry

Calculated values
The value obtained for the mass density is 4.7 g cm⁻³. The calculation puts the formation energy (no corrections) at 0.863 eV per atom. The value obtained for the density of states at the Fermi level is 1.53 states/eV per atom. Its symmetry is No. 123.

Cell: 4.575 4.575 5.602 Å, 90.00 90.00 90.00°
Sites, in units of the cell vectors:
Na  0.000  0.000  0.000
Co  0.000  0.500  0.500
Co  0.500  0.000  0.500
Cu  0.500  0.500  0.500
I  0.500  0.500  0.000



Rb2MoBr4Cl2 | PBE | optimized geometry

Calculated values
The value obtained for the mass density is 3.6 g cm⁻³. The calculation puts the formation energy (no corrections) at -1.188 eV per atom. The value obtained for the density of states at the Fermi level is 0.84 states/eV per atom. Its symmetry is No. 12.

Cell: 7.388 7.388 6.432 Å, 95.62 95.62 60.49°
Sites, in units of the cell vectors:
Rb  0.158  0.158  0.279
Rb  0.842  0.842  0.721
Mo  0.500  0.500  0.500
Br  0.165  0.653  0.260
Br  0.347  0.835  0.740
Br  0.653  0.165  0.260
Br  0.835  0.347  0.740
Cl  0.353  0.353  0.699
Cl  0.647  0.647  0.301



KVGePt2 | PBE | optimized geometry

Calculated values
The value obtained for the mass density is 8.1 g cm⁻³. The value obtained for the density of states at the Fermi level is 0.93 states/eV per atom. Its symmetry is No. 123.

Cell: 4.817 4.817 4.885 Å, 90.00 90.00 90.00°
Sites, in units of the cell vectors:
K  0.000  0.000  0.000
V  0.500  0.500  0.000
Ge  0.500  0.500  0.500
Pt  0.000  0.500  0.500
Pt  0.500  0.000  0.500



Which total DFT energy (no corrections) belongs to each record? In order, -21.25; -25.61; -17.59; -18.07; -49.13; -16.86; -33.84; -25.06 eV per formula unit.